(1)
This record from the Alexandria database describes an optimized crystal structure of Pm2Dy2Sb3. The functional is PBE.

a = 8.0687 Å, b = 8.0687 Å, c = 8.0687 Å
α = 109.47°, β = 109.47°, γ = 109.47°
With the nearest neighbours (Å) after each atom.
Element x y z (fractional)
1 Pm 0.0000 0.3525 0.5000  6 Sb 3.12-3.37
2 Pm 0.1475 0.1475 0.1475  6 Sb 3.12-3.37
3 Pm 0.3525 0.5000 0.0000  6 Sb 3.12-3.37
4 Pm 0.5000 0.0000 0.3525  6 Sb 3.12-3.37
5 Dy 0.0000 0.8605 0.5000  6 Sb 3.10-3.32
6 Dy 0.5000 0.0000 0.8605  6 Sb 3.10-3.32
7 Dy 0.6395 0.6395 0.6395  6 Sb 3.10-3.32
8 Dy 0.8605 0.5000 0.0000  6 Sb 3.10-3.32
9 Sb 0.1193 0.7500 0.8693  4 Dy 3.10-3.32, 4 Pm 3.12-3.37
10 Sb 0.2500 0.6307 0.3807  4 Dy 3.10-3.32, 4 Pm 3.12-3.37
11 Sb 0.3807 0.2500 0.6307  4 Dy 3.10-3.32, 4 Pm 3.12-3.37
12 Sb 0.6307 0.3807 0.2500  4 Dy 3.10-3.32, 4 Pm 3.12-3.37
13 Sb 0.7500 0.8693 0.1193  4 Dy 3.10-3.32, 4 Pm 3.12-3.37
14 Sb 0.8693 0.1193 0.7500  4 Dy 3.10-3.32, 4 Pm 3.12-3.37

## Properties
Formation energy (no corrections) = -1.020 eV/atom
Energy = -5.459 eV/atom
Mass density = 8.05 g/cm³



(2)
This record from the Alexandria database describes an optimized crystal structure of KAg2PdF6. The functional is PBE.

a = 6.0312 Å, b = 6.2183 Å, c = 10.5602 Å
α = 90.00°, β = 123.09°, γ = 90.00°
With the nearest neighbours (Å) after each atom.
Element x y z (fractional)
1 K 0.0000 0.0000 0.0000  6 F 2.58-2.78
2 K 0.0000 0.5000 0.5000  6 F 2.58-2.78
3 Ag 0.2462 0.0419 0.7414  4 F 2.32-2.43
4 Ag 0.2462 0.4581 0.2414  4 F 2.32-2.43
5 Ag 0.7538 0.5419 0.7586  4 F 2.32-2.43
6 Ag 0.7538 0.9581 0.2586  4 F 2.32-2.43
7 Pd 0.5000 0.0000 0.5000  4 F 1.99-2.02
8 Pd 0.5000 0.5000 0.0000  4 F 1.99-2.02
9 F 0.1429 0.1157 0.2821  1 Pd 2.24, 2 Ag 2.32-2.43
10 F 0.1429 0.3843 0.7821  1 Pd 2.24, 2 Ag 2.32-2.43
11 F 0.2794 0.6574 0.0574  1 Pd 1.99
12 F 0.2794 0.8426 0.5574  1 Pd 1.99
13 F 0.4565 0.2394 0.0991  1 Pd 2.02
14 F 0.4565 0.2606 0.5991  1 Pd 2.02
15 F 0.5435 0.7394 0.4009  1 Pd 2.02
16 F 0.5435 0.7606 0.9009  1 Pd 2.02
17 F 0.7206 0.1574 0.4426  1 Pd 1.99
18 F 0.7206 0.3426 0.9426  1 Pd 1.99
19 F 0.8571 0.6157 0.2179  1 Pd 2.24, 2 Ag 2.32-2.43
20 F 0.8571 0.8843 0.7179  1 Pd 2.24, 2 Ag 2.32-2.43

## Properties
Formation energy (no corrections) = -1.496 eV/atom
Energy = -3.818 eV/atom
Mass density = 4.76 g/cm³



(3)
This record from the Alexandria database describes an optimized crystal structure of Pr2YSi2. The functional is PBE.

a = 6.6559 Å, b = 6.6559 Å, c = 10.8449 Å
α = 115.20°, β = 115.20°, γ = 38.44°
With the nearest neighbours (Å) after each atom.
Element x y z (fractional)
1 Pr 0.0153 0.0153 0.1888  6 Si 3.15-3.23
2 Pr 0.1786 0.1786 0.5899  4 Si 3.13-3.27
3 Pr 0.8214 0.8214 0.4101  4 Si 3.13-3.27
4 Pr 0.9847 0.9847 0.8112  6 Si 3.15-3.23
5 Y 0.2743 0.2743 0.1332  4 Si 2.87-3.02
6 Y 0.7257 0.7257 0.8668  4 Si 2.87-3.02
7 Si 0.3914 0.3914 0.9474  1 Si 2.44
8 Si 0.4920 0.4920 0.6064  1 Si 2.40
9 Si 0.5080 0.5080 0.3936  1 Si 2.40
10 Si 0.6086 0.6086 0.0526  1 Si 2.44

## Properties
Formation energy (no corrections) = -0.623 eV/atom
Energy = -5.997 eV/atom
Mass density = 5.32 g/cm³



(4)
This record from the Alexandria database describes an optimized crystal structure of Fe2PtRh. The functional is PBE.

a = 3.8666 Å, b = 3.8666 Å, c = 3.6753 Å
α = 90.00°, β = 90.00°, γ = 90.00°
With the nearest neighbours (Å) after each atom.
Element x y z (fractional)
1 Fe 0.0000 0.5000 0.0000  4 Rh 2.67, 4 Pt 2.67, 4 Fe 2.73
2 Fe 0.5000 0.0000 0.0000  4 Rh 2.67, 4 Pt 2.67, 4 Fe 2.73
3 Pt 0.0000 0.0000 0.5000  8 Fe 2.67, 4 Rh 2.73
4 Rh 0.5000 0.5000 0.5000  8 Fe 2.67, 4 Pt 2.73

## Properties
Energy = -7.714 eV/atom
Mass density = 12.38 g/cm³
ΔH_f (0 K) = -135.1 meV/atom